The following is a DFT calculation (PBE with a Hubbard U) of crystalline Cr2O3 at its relaxed geometry.

Cell lengths 5.1356, 5.3023, 7.3204 Å; angles 90.00, 90.00, 90.00 degrees
With the nearest neighbours (Å) after each atom.
Sites, in units of the cell vectors:
Cr 0.2498 0.0327 0.3935  6 O 1.98-2.07
Cr 0.2502 0.9673 0.8935  6 O 1.98-2.07
Cr 0.7498 0.4673 0.8935  6 O 1.98-2.07
Cr 0.7502 0.5327 0.3935  6 O 1.98-2.07
Cr 0.2498 0.4673 0.6065  6 O 1.98-2.07
Cr 0.2502 0.5327 0.1065  6 O 1.98-2.07
Cr 0.7498 0.0327 0.1065  6 O 1.98-2.07
Cr 0.7502 0.9673 0.6065  6 O 1.98-2.07
O 0.0495 0.2500 0.0000  4 Cr 1.98-2.07
O 0.4505 0.7500 0.5000  4 Cr 1.98-2.07
O 0.5495 0.2500 0.5000  4 Cr 1.98-2.07
O 0.9505 0.7500 0.0000  4 Cr 1.98-2.07
O 0.1081 0.3934 0.3488  4 Cr 2.01-2.07
O 0.1081 0.1066 0.6512  4 Cr 2.01-2.07
O 0.3919 0.6066 0.8488  4 Cr 2.01-2.07
O 0.3919 0.8934 0.1512  4 Cr 2.01-2.07
O 0.6081 0.3934 0.1512  4 Cr 2.01-2.07
O 0.6081 0.1066 0.8488  4 Cr 2.01-2.07
O 0.8919 0.6066 0.6512  4 Cr 2.01-2.07
O 0.8919 0.8934 0.3488  4 Cr 2.01-2.07

Results
magnetization = 24.00 μB per cell
E = -0.58068 Ry per atom
theoretical density = 5.06 g cm⁻³